A relaxed PrEuHfMnO6 crystal, computed with PBE with a Hubbard U.

Cell: 8.093 8.093 8.093 Å, 90.00 90.00 90.00°
Space group F-43m (No. 216)
Inequivalent atoms, fractional coordinates:
Pr  0.000  0.000  0.000 x4
Eu  0.000  0.000  0.500 x4
Hf  0.250  0.250  0.250 x4
Mn  0.250  0.250  0.750 x4
O  0.002  0.250  0.750 x24

Output
* V: 530 Å³/cell
* energy: -9.005 eV per atom
* mass density: 7.8 Mg/m³